# RbMoO3

A geometry-optimized RbMoO3 structure (GGA+U, the Alexandria database).

Cell lengths 4.304, 4.304, 4.304 Å; angles 90.00, 90.00, 90.00 degrees
Space group Pm-3m (No. 221)
One atom of each set of equivalent atoms:
Rb 0.000 0.000 0.000 [1 per cell]
Mo 0.500 0.500 0.500 [1 per cell]
O 0.000 0.000 0.500 [3 per cell]

Summary:
electronic total energy	-3.456	eV per atom
magnetization	3.4	μB/f.u.